Entry 1:
# LaZrZn

LaZrZn at its PBEsol-relaxed geometry (SCAN, Alexandria via LeMat-Bulk).

The value obtained for the energy of formation is 68 meV per atom.

The structure belongs to space group P3m1 (No. 156); the cell edges are 4.8976, 4.8976 and 3.3662 Å and the angles 90.00°, 90.00° and 120.00°. Symmetry generates all atoms from La at (0.0000, 0.0000, 0.0000), Zr at (0.6667, 0.3333, 0.5478) and Zn at (0.3333, 0.6667, 0.4469).



Entry 2:
# RbTc2Os

RbTc2Os at its PBEsol-relaxed geometry (SCAN, Alexandria via LeMat-Bulk).

The value obtained for the energy of formation is 1714 meV per atom.

The structure belongs to space group Fm-3m (No. 225); the cell edges are 6.368, 6.368 and 6.368 Å and the angles 90.00°, 90.00° and 90.00°. Symmetry generates all atoms from Rb at (0.000, 0.000, 0.000), Tc at (0.250, 0.250, 0.250) and Os at (0.000, 0.000, 0.500).



Entry 3:
# Tl2AsNO

Tl2AsNO at its PBEsol-relaxed geometry (SCAN, Alexandria via LeMat-Bulk).

The value obtained for the formation energy from raw total energies is 0.737 eV per atom.

The structure belongs to space group P4/mmm (No. 123); the cell edges are 5.401, 5.401 and 3.734 Å and the angles 90.00°, 90.00° and 90.00°. Symmetry generates all atoms from Tl at (0.000, 0.500, 0.000), As at (0.000, 0.000, 0.000), N at (0.500, 0.500, 0.500) and O at (0.000, 0.000, 0.500).



Entry 4:
# ZrAl2PdAu

ZrAl2PdAu at its PBEsol-relaxed geometry (SCAN, Alexandria via LeMat-Bulk).

The value obtained for the energy of formation is 1131 meV per atom.

The structure belongs to space group P4/mmm (No. 123); the cell edges are 5.119, 5.119 and 4.897 Å and the angles 90.00°, 90.00° and 90.00°. Symmetry generates all atoms from Zr at (0.000, 0.000, 0.000), Al at (0.000, 0.500, 0.000), Pd at (0.500, 0.500, 0.500) and Au at (0.000, 0.000, 0.500).



Entry 5:
# NaCa2Al4H8C4ClO20

NaCa2Al4H8C4ClO20 at its PBEsol-relaxed geometry (SCAN, Alexandria via LeMat-Bulk).

As for the raw total energy: -8.49 eV/atom.

The structure belongs to space group P4/nmm (No. 129, origin choice 2); the cell edges are 11.219, 11.219 and 6.507 Å and the angles 90.00°, 90.00° and 90.00°. Symmetry generates all atoms from Na at (0.250, 0.250, 0.073), Ca at (0.000, 0.000, 0.000), Al at (0.095, 0.595, 0.500), H at (0.053, 0.750, 0.739), H at (0.122, 0.122, 0.414), C at (0.013, 0.750, 0.153), Cl at (0.250, 0.250, 0.503), O at (0.035, 0.250, 0.026), O at (0.037, 0.649, 0.240), O at (0.061, 0.061, 0.389) and O at (0.092, 0.750, 0.603).



Entry 6:
# Si3Au10

Si3Au10 at its PBEsol-relaxed geometry (SCAN, Alexandria via LeMat-Bulk).

The value obtained for the formation energy from raw total energies is 0.010 eV per atom.

The structure belongs to space group I-43m (No. 217); the cell edges are 9.564, 9.564 and 9.564 Å and the angles 90.00°, 90.00° and 90.00°. Symmetry generates all atoms from Si at (0.000, 0.000, 0.302), Au at (0.034, 0.354, 0.646), Au at (0.156, 0.156, 0.844) and Au at (0.163, 0.163, 0.163).



Entry 7:
# Cd2Cu2Sb

Cd2Cu2Sb at its PBEsol-relaxed geometry (SCAN, Alexandria via LeMat-Bulk).

The value obtained for the formation energy from raw total energies is 0.168 eV per atom.

The structure belongs to space group I4/mmm (No. 139); the cell edges are 3.370, 3.370 and 17.022 Å and the angles 90.00°, 90.00° and 90.00°. Symmetry generates all atoms from Cd at (0.000, 0.000, 0.125), Cu at (0.000, 0.500, 0.250) and Sb at (0.000, 0.000, 0.500).



Entry 8:
# KLiCo

KLiCo at its PBEsol-relaxed geometry (SCAN, Alexandria via LeMat-Bulk).

The value obtained for the energy of formation is 771 meV per atom.

The structure belongs to space group P3m1 (No. 156); the cell edges are 5.1337, 5.1337 and 2.6665 Å and the angles 90.00°, 90.00° and 120.00°. Symmetry generates all atoms from K at (0.0000, 0.0000, 0.0000), Li at (0.6667, 0.3333, 0.1014) and Co at (0.3333, 0.6667, 0.5395).



Entry 9:
# Li3Cr2Ni2O8

Li3Cr2Ni2O8 at its PBEsol-relaxed geometry (SCAN, Alexandria via LeMat-Bulk).

The value obtained for the formation energy from raw total energies is -2.006 eV per atom.

The structure belongs to space group C2/m (No. 12); the cell edges are 9.845, 5.755 and 5.713 Å and the angles 90.00°, 124.99° and 90.00°. Symmetry generates all atoms from Li at (0.000, 0.000, 0.000), Li at (0.250, 0.250, 0.500), Cr at (0.250, 0.250, 0.000), Ni at (0.000, 0.500, 0.000), Ni at (0.000, 0.500, 0.500), O at (0.011, 0.276, 0.768), O at (0.236, 0.500, 0.218) and O at (0.247, 0.000, 0.227).



Entry 10:
# ZnCu2SnSe2S2

ZnCu2SnSe2S2 at its PBEsol-relaxed geometry (SCAN, Alexandria via LeMat-Bulk).

The value obtained for the formation energy from raw total energies is -0.466 eV per atom.

The structure belongs to space group Fmm2 (No. 42); the cell edges are 7.749, 7.829 and 11.051 Å and the angles 90.00°, 90.00° and 90.00°. Symmetry generates all atoms from Zn at (0.000, 0.000, 0.000), Cu at (0.250, 0.250, 0.272), Sn at (0.000, 0.000, 0.507), Se at (0.000, 0.237, 0.145) and S at (0.243, 0.000, 0.874).



Entry 11:
# SrFeP2O

SrFeP2O at its PBEsol-relaxed geometry (SCAN, Alexandria via LeMat-Bulk).

The value obtained for the formation energy from raw total energies is -0.571 eV per atom.

The structure belongs to space group P4/mmm (No. 123); the cell edges are 4.774, 4.774 and 3.643 Å and the angles 90.00°, 90.00° and 90.00°. Symmetry generates all atoms from Sr at (0.000, 0.000, 0.000), Fe at (0.500, 0.500, 0.500), P at (0.000, 0.500, 0.500) and O at (0.500, 0.500, 0.000).



| no. | total magnetization (Bohr magnetons per cell) |
| --- | --- |
| 1 | 0.0 |
| 2 | 0.0 |
| 3 | 1.7 |
| 4 | 0.0 |
| 5 | 0.0 |
| 6 | 0.0 |
| 7 | 0.0 |
| 8 | 1.9 |
| 9 | 14.0 |
| 10 | 0.0 |
| 11 | 2.8 |